A geometry-optimized CoBF2 structure. Source: the Alexandria database, functional GGA+U.

abc: 3.9399 3.9399 3.9399
angles: 60.00 60.00 60.00
Last column: nearest neighbours and their distance in Å.
Sites, in units of the cell vectors:
F 0.7500 0.7500 0.7500  4 Co 2.41, 4 B 2.41
F 0.2500 0.2500 0.2500  4 Co 2.41, 4 B 2.41
Co 0.5000 0.5000 0.5000  8 F 2.41
B 0.0000 0.0000 0.0000  8 F 2.41

Properties
- total DFT energy (no corrections) (eV/atom) = -3.7217
- symmetry = Fm-3m (225)
- total moment (Bohr magnetons per cell) = 2.2